A plane-wave DFT calculation with PBE+U was carried out for a relaxed structure of Ac2NdVO6.

Properties
The symmetry is P2_1/c, No. 14. The calculation puts the magnetization at 2.00 μB/f.u. As for the raw total energy: -80.2 eV/f.u.

POSCAR file:
```
Ac2NdVO6
1.0
5.9295 0.0000 0.0000
0.0000 6.0828 0.0000
-5.7966 0.0000 8.5543
Ac Nd V O
4 2 2 12
direct
0.2349 0.0489 0.2492
0.2349 0.4511 0.7492
0.7651 0.5489 0.2508
0.7651 0.9511 0.7508
0.5000 0.0000 0.0000
0.5000 0.5000 0.5000
0.0000 0.0000 0.5000
0.0000 0.5000 0.0000
0.1254 0.2186 0.9413
0.1254 0.2814 0.4413
0.2251 0.6893 0.9453
0.2251 0.8107 0.4453
0.3408 0.0400 0.7348
0.3408 0.4600 0.2348
0.6592 0.5400 0.7652
0.6592 0.9600 0.2652
0.7749 0.1893 0.5547
0.7749 0.3107 0.0547
0.8746 0.7186 0.5587
0.8746 0.7814 0.0587
```